DFT (GGA-PBE) results for crystalline Cd3H2Pd6 at its relaxed geometry.

Cell lengths 11.254, 11.254, 11.254 Å; angles 159.75, 159.75, 28.80 degrees
Fractional positions:
Cd 0.000 0.000 0.000
Cd 0.189 0.189 0.000
Cd 0.811 0.811 0.000
H 0.410 0.410 0.000
H 0.590 0.590 0.000
Pd 0.091 0.591 0.500
Pd 0.312 0.312 0.000
Pd 0.409 0.909 0.500
Pd 0.591 0.091 0.500
Pd 0.688 0.688 0.000
Pd 0.909 0.409 0.500

---

DFT (GGA-PBE) results for crystalline LiCa3Zr3TaO12 at its relaxed geometry.

Cell lengths 5.557, 5.795, 15.994 Å; angles 90.00, 90.13, 90.00 degrees
Fractional positions:
Li 0.211 0.000 0.000
Li 0.789 0.500 0.000
Ca 0.233 0.069 0.241
Ca 0.235 0.069 0.758
Ca 0.266 0.174 0.500
Ca 0.734 0.674 0.500
Ca 0.765 0.569 0.242
Ca 0.767 0.569 0.759
Zr 0.247 0.621 0.373
Zr 0.250 0.621 0.627
Zr 0.264 0.603 0.881
Zr 0.736 0.103 0.119
Zr 0.750 0.121 0.373
Zr 0.753 0.121 0.627
Ta 0.257 0.611 0.120
Ta 0.743 0.111 0.880
O 0.039 0.339 0.847
O 0.047 0.355 0.151
O 0.058 0.316 0.343
O 0.060 0.316 0.656
O 0.139 0.636 0.004
O 0.141 0.579 0.500
O 0.350 0.661 0.243
O 0.356 0.665 0.754
O 0.421 0.931 0.102
O 0.445 0.920 0.402
O 0.447 0.921 0.597
O 0.448 0.946 0.900
O 0.552 0.446 0.100
O 0.553 0.421 0.403
O 0.555 0.420 0.598
O 0.579 0.431 0.898
O 0.644 0.165 0.246
O 0.650 0.161 0.757
O 0.859 0.079 0.500
O 0.861 0.136 0.996
O 0.940 0.816 0.344
O 0.942 0.816 0.657
O 0.953 0.855 0.849
O 0.961 0.839 0.153

Computed properties:
E_form (uncorrected)	-62.404	eV/f.u.

---

DFT (GGA-PBE) results for crystalline Tl3Hg2Pb2 at its relaxed geometry.

Cell lengths 8.267, 8.267, 8.267 Å; angles 109.47, 109.47, 109.47 degrees
Fractional positions:
Tl 0.182 0.932 0.250
Tl 0.250 0.182 0.932
Tl 0.318 0.568 0.750
Tl 0.568 0.750 0.318
Tl 0.750 0.318 0.568
Tl 0.932 0.250 0.182
Hg 0.000 0.099 0.500
Hg 0.099 0.500 0.000
Hg 0.401 0.401 0.401
Hg 0.500 0.000 0.099
Pb 0.000 0.696 0.500
Pb 0.500 0.000 0.696
Pb 0.696 0.500 0.000
Pb 0.804 0.804 0.804

Computed properties:
energy of formation	31	meV/atom
offset from the most stable computed form	25	meV per atom

---

DFT (GGA-PBE) results for crystalline ZrMnVFe at its relaxed geometry.

Cell lengths 4.278, 4.278, 4.278 Å; angles 60.00, 60.00, 60.00 degrees
Fractional positions:
Zr 0.000 0.000 0.000
Mn 0.750 0.750 0.750
V 0.500 0.500 0.500
Fe 0.250 0.250 0.250

Computed properties:
energy of formation	-70	meV/atom

---

DFT (GGA-PBE) results for crystalline Nd2Al2Au3 at its relaxed geometry.

Cell lengths 10.145, 10.145, 7.326 Å; angles 90.00, 90.00, 155.58 degrees
Fractional positions:
Nd 0.060 0.940 0.750
Nd 0.151 0.849 0.250
Nd 0.849 0.151 0.750
Nd 0.940 0.060 0.250
Al 0.305 0.695 0.057
Al 0.305 0.695 0.443
Al 0.695 0.305 0.557
Al 0.695 0.305 0.943
Au 0.226 0.774 0.750
Au 0.434 0.566 0.551
Au 0.434 0.566 0.949
Au 0.566 0.434 0.051
Au 0.566 0.434 0.449
Au 0.774 0.226 0.250

Computed properties:
energy of formation	-727	meV/atom

---

DFT (GGA-PBE) results for crystalline TbErScRu at its relaxed geometry.

Cell lengths 5.037, 5.037, 5.037 Å; angles 60.00, 60.00, 60.00 degrees
Fractional positions:
Tb 0.000 0.000 0.000
Er 0.500 0.500 0.500
Sc 0.250 0.250 0.250
Ru 0.750 0.750 0.750

Computed properties:
energy of formation	-42	meV/atom

---

DFT (GGA-PBE) results for crystalline YP2SF at its relaxed geometry.

Cell lengths 5.365, 5.365, 5.094 Å; angles 90.00, 90.00, 90.00 degrees
Fractional positions:
Y 0.000 0.000 0.000
P 0.000 0.500 0.000
P 0.500 0.000 0.000
S 0.000 0.000 0.500
F 0.500 0.500 0.500

Computed properties:
E_form (uncorrected)	1.813	eV/f.u.
offset from the most stable computed form	801	meV per atom

---

DFT (GGA-PBE) results for crystalline CaNd2Rh at its relaxed geometry.

Cell lengths 3.623, 3.623, 9.430 Å; angles 90.00, 90.00, 90.00 degrees
Fractional positions:
Ca 0.000 0.000 0.000
Nd 0.500 0.500 0.325
Nd 0.500 0.500 0.675
Rh 0.000 0.000 0.500

Computed properties:
energy of formation	-296	meV/atom
offset from the most stable computed form	86	meV per atom

---

DFT (GGA-PBE) results for crystalline LuVN at its relaxed geometry.

Cell lengths 6.015, 6.015, 6.015 Å; angles 152.39, 152.39, 39.45 degrees
Fractional positions:
Lu 0.000 0.000 0.000
V 0.717 0.717 0.000
N 0.203 0.203 0.000

Computed properties:
E_form (uncorrected)	-0.876	eV/f.u.

---

DFT (GGA-PBE) results for crystalline SbTe2IN at its relaxed geometry.

Cell lengths 5.728, 5.728, 5.942 Å; angles 90.00, 90.00, 90.00 degrees
Fractional positions:
Sb 0.000 0.000 0.000
Te 0.000 0.500 0.500
Te 0.500 0.000 0.500
I 0.000 0.000 0.500
N 0.500 0.500 0.000

Computed properties:
E_form (uncorrected)	11.303	eV/f.u.
offset from the most stable computed form	1461	meV per atom

---

DFT (GGA-PBE) results for crystalline CdIn2HgI at its relaxed geometry.

Cell lengths 5.671, 5.671, 5.588 Å; angles 90.00, 90.00, 90.00 degrees
Fractional positions:
Cd 0.000 0.000 0.000
In 0.000 0.500 0.000
In 0.500 0.000 0.000
Hg 0.000 0.000 0.500
I 0.500 0.500 0.500

Computed properties:
E_form (uncorrected)	-0.039	eV/f.u.
offset from the most stable computed form	0	meV per atom

---

DFT (GGA-PBE) results for crystalline Ca2SbS at its relaxed geometry.

Cell lengths 5.282, 5.282, 5.282 Å; angles 60.00, 60.00, 60.00 degrees
Fractional positions:
Ca 0.250 0.250 0.250
Ca 0.750 0.750 0.750
Sb 0.000 0.000 0.000
S 0.500 0.500 0.500

Computed properties:
E_form (uncorrected)	-4.130	eV/f.u.
offset from the most stable computed form	410	meV per atom

---

Per-record size of the total moment, μB per cell: 0.00, 0.00, 0.00, 0.00, 0.00, 0.00, 0.01, 0.00, 0.00, 0.00, 0.00, 0.00
Per-record E, eV/f.u.: -42.661, -167.318, -14.901, -35.581, -31.945, -24.968, -21.470, -20.074, -22.841, -8.978, -8.283, -16.383
Per-record density of states at the Fermi level, states/eV/atom: 0.433, 0.000, 0.567, 0.368, 0.573, 1.228, 0.831, 1.063, 0.937, 2.720, 0.215, 1.448